P.
# Y2TlBi2, optimized geometry, DFT PBE-GGA
data_Y2TlBi2
_symmetry_space_group_name_H-M 'I 4/m m m'
_symmetry_Int_Tables_number 139
_symmetry_space_group_name_Hall '-I 4 2'
_cell_length_a 4.414
_cell_length_b 4.414
_cell_length_c 16.585
_cell_angle_alpha 90.00
_cell_angle_beta 90.00
_cell_angle_gamma 90.00
loop_
_atom_site_label
_atom_site_fract_x
_atom_site_fract_y
_atom_site_fract_z
_atom_site_occupancy
Y1 0.000 0.000 0.104 1
Tl1 0.000 0.000 0.500 1
Bi1 0.000 0.500 0.250 1
# Density   8.2 g/cm3
# Magnetic moment   0.00 μB per cell

=====

Q.
# Y2TlBi2, optimized geometry, DFT PBE-GGA
data_Y2TlBi2
_symmetry_space_group_name_H-M 'P 4/m b m'
_symmetry_Int_Tables_number 127
_symmetry_space_group_name_Hall '-P 4 2ab'
_cell_length_a 8.531
_cell_length_b 8.531
_cell_length_c 4.184
_cell_angle_alpha 90.00
_cell_angle_beta 90.00
_cell_angle_gamma 90.00
loop_
_atom_site_label
_atom_site_fract_x
_atom_site_fract_y
_atom_site_fract_z
_atom_site_occupancy
Y1 0.147 0.353 0.000 1
Tl1 0.000 0.000 0.000 1
Bi1 0.158 0.658 0.500 1
# Density   8.7 g/cm3
# Magnetic moment   0.00 μB per cell

=====

Which structure is most stable? Q, by 28.2 kJ/mol of atoms over the runner-up.

=====

P.
# Tl3ZnBi, optimized geometry, DFT PBE-GGA
data_Tl3ZnBi
_symmetry_space_group_name_H-M 'P m -3 m'
_symmetry_Int_Tables_number 221
_symmetry_space_group_name_Hall '-P 4 2 3'
_cell_length_a 5.392
_cell_length_b 5.392
_cell_length_c 5.392
_cell_angle_alpha 90.00
_cell_angle_beta 90.00
_cell_angle_gamma 90.00
loop_
_atom_site_label
_atom_site_fract_x
_atom_site_fract_y
_atom_site_fract_z
_atom_site_occupancy
Tl1 0.000 0.000 0.500 1
Zn1 0.000 0.000 0.000 1
Bi1 0.500 0.500 0.500 1
# Density   9.4 g/cm3
# Magnetic moment   0.00 μB per cell

=====

Q.
# Tl3ZnBi, optimized geometry, DFT PBE-GGA
data_Tl3ZnBi
_symmetry_space_group_name_H-M 'P m -3 m'
_symmetry_Int_Tables_number 221
_symmetry_space_group_name_Hall '-P 4 2 3'
_cell_length_a 6.243
_cell_length_b 6.243
_cell_length_c 6.243
_cell_angle_alpha 90.00
_cell_angle_beta 90.00
_cell_angle_gamma 90.00
loop_
_atom_site_label
_atom_site_fract_x
_atom_site_fract_y
_atom_site_fract_z
_atom_site_occupancy
Tl1 0.000 0.000 0.500 1
Zn1 0.500 0.500 0.500 1
Bi1 0.000 0.000 0.000 1
# Density   6.1 g/cm3
# Magnetic moment   0.00 μB per cell

=====

Which structure is most stable? P, by 27.7 kJ/mol of atoms over the runner-up.

=====

P.
# Tl2ZnBi, optimized geometry, DFT PBE-GGA
data_Tl2ZnBi
_symmetry_space_group_name_H-M 'R 3 m'
_symmetry_Int_Tables_number 160
_symmetry_space_group_name_Hall 'R 3 -2"'
_cell_length_a 4.7162
_cell_length_b 4.7162
_cell_length_c 19.3521
_cell_angle_alpha 90.00
_cell_angle_beta 90.00
_cell_angle_gamma 120.00
loop_
_atom_site_label
_atom_site_fract_x
_atom_site_fract_y
_atom_site_fract_z
_atom_site_occupancy
Tl1 0.0000 0.0000 0.0000 1
Tl2 0.0000 0.0000 0.2245 1
Zn1 0.0000 0.0000 0.4093 1
Bi1 0.0000 0.0000 0.7916 1
# Density   9.1 g/cm3
# Magnetic moment   0.00 μB per cell

=====

Q.
# Tl2ZnBi, optimized geometry, DFT PBE-GGA
data_Tl2ZnBi
_symmetry_space_group_name_H-M 'R -3 m'
_symmetry_Int_Tables_number 166
_symmetry_space_group_name_Hall '-R 3 2"'
_cell_length_a 3.4190
_cell_length_b 3.4190
_cell_length_c 35.9854
_cell_angle_alpha 90.00
_cell_angle_beta 90.00
_cell_angle_gamma 120.00
loop_
_atom_site_label
_atom_site_fract_x
_atom_site_fract_y
_atom_site_fract_z
_atom_site_occupancy
Tl1 0.0000 0.0000 0.0831 1
Zn1 0.0000 0.0000 0.0000 1
Bi1 0.0000 0.0000 0.5000 1
# Density   9.3 g/cm3
# Magnetic moment   0.00 μB per cell

=====

Which structure is most stable? P, by 7.7 kJ/mol of atoms over the runner-up.

=====

P.
# Tl2ZnBi, optimized geometry, DFT PBE-GGA
data_Tl2ZnBi
_symmetry_space_group_name_H-M 'P 4/m m m'
_symmetry_Int_Tables_number 123
_symmetry_space_group_name_Hall '-P 4 2'
_cell_length_a 4.905
_cell_length_b 4.905
_cell_length_c 4.694
_cell_angle_alpha 90.00
_cell_angle_beta 90.00
_cell_angle_gamma 90.00
loop_
_atom_site_label
_atom_site_fract_x
_atom_site_fract_y
_atom_site_fract_z
_atom_site_occupancy
Tl1 0.000 0.500 0.000 1
Zn1 0.000 0.000 0.500 1
Bi1 0.500 0.500 0.500 1
# Density   10.0 g/cm3
# Magnetic moment   0.00 μB per cell

=====

Q.
# Tl2ZnBi, optimized geometry, DFT PBE-GGA
data_Tl2ZnBi
_symmetry_space_group_name_H-M 'I -4 2 d'
_symmetry_Int_Tables_number 122
_symmetry_space_group_name_Hall 'I -4 2bw'
_cell_length_a 8.547
_cell_length_b 8.547
_cell_length_c 6.312
_cell_angle_alpha 90.00
_cell_angle_beta 90.00
_cell_angle_gamma 90.00
loop_
_atom_site_label
_atom_site_fract_x
_atom_site_fract_y
_atom_site_fract_z
_atom_site_occupancy
Tl1 0.219 0.250 0.125 1
Zn1 0.000 0.000 0.000 1
Bi1 0.000 0.000 0.500 1
# Density   9.8 g/cm3
# Magnetic moment   0.00 μB per cell

=====

Which structure is most stable? P, by 3.0 kJ/mol of atoms over the runner-up.

=====

P.
# Zr3TlBi, optimized geometry, DFT PBE-GGA
data_Zr3TlBi
_symmetry_space_group_name_H-M 'P m -3 m'
_symmetry_Int_Tables_number 221
_symmetry_space_group_name_Hall '-P 4 2 3'
_cell_length_a 5.349
_cell_length_b 5.349
_cell_length_c 5.349
_cell_angle_alpha 90.00
_cell_angle_beta 90.00
_cell_angle_gamma 90.00
loop_
_atom_site_label
_atom_site_fract_x
_atom_site_fract_y
_atom_site_fract_z
_atom_site_occupancy
Zr1 0.000 0.000 0.500 1
Tl1 0.000 0.000 0.000 1
Bi1 0.500 0.500 0.500 1
# Density   7.5 g/cm3
# Magnetic moment   0.00 μB per cell

=====

Q.
# Zr3TlBi, optimized geometry, DFT PBE-GGA
data_Zr3TlBi
_symmetry_space_group_name_H-M 'P m -3 m'
_symmetry_Int_Tables_number 221
_symmetry_space_group_name_Hall '-P 4 2 3'
_cell_length_a 5.414
_cell_length_b 5.414
_cell_length_c 5.414
_cell_angle_alpha 90.00
_cell_angle_beta 90.00
_cell_angle_gamma 90.00
loop_
_atom_site_label
_atom_site_fract_x
_atom_site_fract_y
_atom_site_fract_z
_atom_site_occupancy
Zr1 0.000 0.000 0.500 1
Tl1 0.500 0.500 0.500 1
Bi1 0.000 0.000 0.000 1
# Density   7.2 g/cm3
# Magnetic moment   0.00 μB per cell

=====

R.
# Zr3TlBi, optimized geometry, DFT PBE-GGA
data_Zr3TlBi
_symmetry_space_group_name_H-M 'C 1 2/c 1'
_symmetry_Int_Tables_number 15
_symmetry_space_group_name_Hall '-C 2yc'
_cell_length_a 15.515
_cell_length_b 5.788
_cell_length_c 10.775
_cell_angle_alpha 90.00
_cell_angle_beta 100.11
_cell_angle_gamma 90.00
loop_
_atom_site_label
_atom_site_fract_x
_atom_site_fract_y
_atom_site_fract_z
_atom_site_occupancy
Zr1 0.055 0.243 0.016 1
Zr2 0.098 0.014 0.774 1
Zr3 0.205 0.458 0.265 1
Tl1 0.146 0.248 0.527 1
Bi1 0.000 0.491 0.250 1
Bi2 0.250 0.250 0.000 1
# Density   9.6 g/cm3
# Magnetic moment   0.00 μB per cell

=====

Which structure is most stable? R, by 94.8 kJ/mol of atoms over the runner-up.

=====

P.
# ZrTlBi2, optimized geometry, DFT PBE-GGA
data_ZrTlBi2
_symmetry_space_group_name_H-M 'F m -3 m'
_symmetry_Int_Tables_number 225
_symmetry_space_group_name_Hall '-F 4 2 3'
_cell_length_a 7.691
_cell_length_b 7.691
_cell_length_c 7.691
_cell_angle_alpha 90.00
_cell_angle_beta 90.00
_cell_angle_gamma 90.00
loop_
_atom_site_label
_atom_site_fract_x
_atom_site_fract_y
_atom_site_fract_z
_atom_site_occupancy
Zr1 0.000 0.000 0.000 1
Tl1 0.000 0.000 0.500 1
Bi1 0.250 0.250 0.250 1
# Density   10.4 g/cm3
# Magnetic moment   0.00 μB per cell

=====

Q.
# ZrTlBi2, optimized geometry, DFT PBE-GGA
data_ZrTlBi2
_symmetry_space_group_name_H-M 'P 4/m m m'
_symmetry_Int_Tables_number 123
_symmetry_space_group_name_Hall '-P 4 2'
_cell_length_a 3.893
_cell_length_b 3.893
_cell_length_c 7.530
_cell_angle_alpha 90.00
_cell_angle_beta 90.00
_cell_angle_gamma 90.00
loop_
_atom_site_label
_atom_site_fract_x
_atom_site_fract_y
_atom_site_fract_z
_atom_site_occupancy
Zr1 0.000 0.000 0.000 1
Tl1 0.000 0.000 0.500 1
Bi1 0.500 0.500 0.213 1
# Density   10.4 g/cm3
# Magnetic moment   0.00 μB per cell

=====

Which structure is most stable? Q, by 24.8 kJ/mol of atoms over the runner-up.

=====

P.
# ZrTlBi2, optimized geometry, DFT PBE-GGA
data_ZrTlBi2
_symmetry_space_group_name_H-M 'R -3 m'
_symmetry_Int_Tables_number 166
_symmetry_space_group_name_Hall '-R 3 2"'
_cell_length_a 4.0030
_cell_length_b 4.0030
_cell_length_c 26.8963
_cell_angle_alpha 90.00
_cell_angle_beta 90.00
_cell_angle_gamma 120.00
loop_
_atom_site_label
_atom_site_fract_x
_atom_site_fract_y
_atom_site_fract_z
_atom_site_occupancy
Zr1 0.0000 0.0000 0.0000 1
Tl1 0.0000 0.0000 0.5000 1
Bi1 0.0000 0.0000 0.2605 1
# Density   9.5 g/cm3
# Magnetic moment   0.00 μB per cell

=====

Q.
# ZrTlBi2, optimized geometry, DFT PBE-GGA
data_ZrTlBi2
_symmetry_space_group_name_H-M 'I -4 2 d'
_symmetry_Int_Tables_number 122
_symmetry_space_group_name_Hall 'I -4 2bw'
_cell_length_a 6.998
_cell_length_b 6.998
_cell_length_c 13.849
_cell_angle_alpha 90.00
_cell_angle_beta 90.00
_cell_angle_gamma 90.00
loop_
_atom_site_label
_atom_site_fract_x
_atom_site_fract_y
_atom_site_fract_z
_atom_site_occupancy
Zr1 0.000 0.000 0.000 1
Tl1 0.000 0.000 0.500 1
Bi1 0.215 0.250 0.125 1
# Density   7.0 g/cm3
# Magnetic moment   0.00 μB per cell

=====

Which structure is most stable? P, by 33.2 kJ/mol of atoms over the runner-up.

=====

P.
# Zr2TlBi2, optimized geometry, DFT PBE-GGA
data_Zr2TlBi2
_symmetry_space_group_name_H-M 'P 4/m b m'
_symmetry_Int_Tables_number 127
_symmetry_space_group_name_Hall '-P 4 2ab'
_cell_length_a 8.088
_cell_length_b 8.088
_cell_length_c 3.989
_cell_angle_alpha 90.00
_cell_angle_beta 90.00
_cell_angle_gamma 90.00
loop_
_atom_site_label
_atom_site_fract_x
_atom_site_fract_y
_atom_site_fract_z
_atom_site_occupancy
Zr1 0.144 0.356 0.000 1
Tl1 0.000 0.000 0.000 1
Bi1 0.152 0.652 0.500 1
# Density   10.2 g/cm3
# Magnetic moment   0.00 μB per cell

=====

Q.
# Zr2TlBi2, optimized geometry, DFT PBE-GGA
data_Zr2TlBi2
_symmetry_space_group_name_H-M 'P 4/m b m'
_symmetry_Int_Tables_number 127
_symmetry_space_group_name_Hall '-P 4 2ab'
_cell_length_a 8.525
_cell_length_b 8.525
_cell_length_c 3.775
_cell_angle_alpha 90.00
_cell_angle_beta 90.00
_cell_angle_gamma 90.00
loop_
_atom_site_label
_atom_site_fract_x
_atom_site_fract_y
_atom_site_fract_z
_atom_site_occupancy
Zr1 0.134 0.366 0.000 1
Tl1 0.000 0.000 0.500 1
Bi1 0.151 0.651 0.500 1
# Density   9.7 g/cm3
# Magnetic moment   0.00 μB per cell

=====

Which structure is most stable? P, by 16.6 kJ/mol of atoms over the runner-up.

=====

P.
# ZrTl2Bi2, optimized geometry, DFT PBE-GGA
data_ZrTl2Bi2
_symmetry_space_group_name_H-M 'P 4/m b m'
_symmetry_Int_Tables_number 127
_symmetry_space_group_name_Hall '-P 4 2ab'
_cell_length_a 7.814
_cell_length_b 7.814
_cell_length_c 5.119
_cell_angle_alpha 90.00
_cell_angle_beta 90.00
_cell_angle_gamma 90.00
loop_
_atom_site_label
_atom_site_fract_x
_atom_site_fract_y
_atom_site_fract_z
_atom_site_occupancy
Zr1 0.000 0.000 0.000 1
Tl1 0.173 0.327 0.500 1
Bi1 0.145 0.645 0.000 1
# Density   9.8 g/cm3
# Magnetic moment   0.00 μB per cell

=====

Q.
# ZrTl2Bi2, optimized geometry, DFT PBE-GGA
data_ZrTl2Bi2
_symmetry_space_group_name_H-M 'P 4/m b m'
_symmetry_Int_Tables_number 127
_symmetry_space_group_name_Hall '-P 4 2ab'
_cell_length_a 7.957
_cell_length_b 7.957
_cell_length_c 4.648
_cell_angle_alpha 90.00
_cell_angle_beta 90.00
_cell_angle_gamma 90.00
loop_
_atom_site_label
_atom_site_fract_x
_atom_site_fract_y
_atom_site_fract_z
_atom_site_occupancy
Zr1 0.000 0.000 0.000 1
Tl1 0.151 0.349 0.000 1
Bi1 0.154 0.654 0.500 1
# Density   10.4 g/cm3
# Magnetic moment   0.00 μB per cell

=====

Which structure is most stable? P, by 14.2 kJ/mol of atoms over the runner-up.

=====

P.
# ZrTl3Bi, optimized geometry, DFT PBE-GGA
data_ZrTl3Bi
_symmetry_space_group_name_H-M 'P m -3 m'
_symmetry_Int_Tables_number 221
_symmetry_space_group_name_Hall '-P 4 2 3'
_cell_length_a 5.680
_cell_length_b 5.680
_cell_length_c 5.680
_cell_angle_alpha 90.00
_cell_angle_beta 90.00
_cell_angle_gamma 90.00
loop_
_atom_site_label
_atom_site_fract_x
_atom_site_fract_y
_atom_site_fract_z
_atom_site_occupancy
Zr1 0.000 0.000 0.000 1
Tl1 0.000 0.000 0.500 1
Bi1 0.500 0.500 0.500 1
# Density   8.3 g/cm3
# Magnetic moment   0.00 μB per cell

=====

Q.
# ZrTl3Bi, optimized geometry, DFT PBE-GGA
data_ZrTl3Bi
_symmetry_space_group_name_H-M 'P m -3 m'
_symmetry_Int_Tables_number 221
_symmetry_space_group_name_Hall '-P 4 2 3'
_cell_length_a 5.861
_cell_length_b 5.861
_cell_length_c 5.861
_cell_angle_alpha 90.00
_cell_angle_beta 90.00
_cell_angle_gamma 90.00
loop_
_atom_site_label
_atom_site_fract_x
_atom_site_fract_y
_atom_site_fract_z
_atom_site_occupancy
Zr1 0.000 0.000 0.000 1
Tl1 0.000 0.500 0.500 1
Bi1 0.500 0.500 0.500 1
# Density   7.5 g/cm3
# Magnetic moment   2.43 μB per cell

=====

Which structure is most stable? P, by 48.7 kJ/mol of atoms over the runner-up.

=====

P.
# Zr2Tl2Bi, optimized geometry, DFT PBE-GGA
data_Zr2Tl2Bi
_symmetry_space_group_name_H-M 'P 4/m b m'
_symmetry_Int_Tables_number 127
_symmetry_space_group_name_Hall '-P 4 2ab'
_cell_length_a 8.920
_cell_length_b 8.920
_cell_length_c 3.278
_cell_angle_alpha 90.00
_cell_angle_beta 90.00
_cell_angle_gamma 90.00
loop_
_atom_site_label
_atom_site_fract_x
_atom_site_fract_y
_atom_site_fract_z
_atom_site_occupancy
Zr1 0.127 0.373 0.000 1
Tl1 0.169 0.669 0.500 1
Bi1 0.000 0.000 0.500 1
# Density   10.2 g/cm3
# Magnetic moment   0.00 μB per cell

=====

Q.
# Zr2Tl2Bi, optimized geometry, DFT PBE-GGA
data_Zr2Tl2Bi
_symmetry_space_group_name_H-M 'P 4/m b m'
_symmetry_Int_Tables_number 127
_symmetry_space_group_name_Hall '-P 4 2ab'
_cell_length_a 7.617
_cell_length_b 7.617
_cell_length_c 4.488
_cell_angle_alpha 90.00
_cell_angle_beta 90.00
_cell_angle_gamma 90.00
loop_
_atom_site_label
_atom_site_fract_x
_atom_site_fract_y
_atom_site_fract_z
_atom_site_occupancy
Zr1 0.151 0.349 0.000 1
Tl1 0.155 0.655 0.500 1
Bi1 0.000 0.000 0.000 1
# Density   10.2 g/cm3
# Magnetic moment   0.00 μB per cell

=====

Which structure is most stable? Q, by 18.4 kJ/mol of atoms over the runner-up.

=====

P.
# Tm4Bi, optimized geometry, DFT PBE-GGA
data_Tm4Bi
_symmetry_space_group_name_H-M 'F d d 2'
_symmetry_Int_Tables_number 43
_symmetry_space_group_name_Hall 'F 2 -2d'
_cell_length_a 13.092
_cell_length_b 13.150
_cell_length_c 7.458
_cell_angle_alpha 90.00
_cell_angle_beta 90.00
_cell_angle_gamma 90.00
loop_
_atom_site_label
_atom_site_fract_x
_atom_site_fract_y
_atom_site_fract_z
_atom_site_occupancy
Tm1 0.065 0.377 0.000 1
Tm2 0.124 0.065 0.230 1
Bi1 0.000 0.000 0.865 1
# Density   9.2 g/cm3
# Magnetic moment   0.00 μB per cell

=====

Q.
# Tm4Bi, optimized geometry, DFT PBE-GGA
data_Tm4Bi
_symmetry_space_group_name_H-M 'P m -3 m'
_symmetry_Int_Tables_number 221
_symmetry_space_group_name_Hall '-P 4 2 3'
_cell_length_a 5.724
_cell_length_b 5.724
_cell_length_c 5.724
_cell_angle_alpha 90.00
_cell_angle_beta 90.00
_cell_angle_gamma 90.00
loop_
_atom_site_label
_atom_site_fract_x
_atom_site_fract_y
_atom_site_fract_z
_atom_site_occupancy
Tm1 0.000 0.000 0.000 1
Tm2 0.000 0.500 0.500 1
Bi1 0.500 0.500 0.500 1
# Density   7.8 g/cm3
# Magnetic moment   1.83 μB per cell

=====

Which structure is most stable? P, by 48.3 kJ/mol of atoms over the runner-up.